Entry 1:
Al2IrS | meta-GGA SCAN | PBEsol geometry

abc: 6.112 7.814 5.717
angles: 90.00 115.22 90.00
Fractional coordinates of all 16 atoms:
Al 0.000 0.112 0.000
Al 0.000 0.888 0.500
Al 0.029 0.277 0.588
Al 0.029 0.723 0.088
Al 0.500 0.388 0.500
Al 0.500 0.612 0.000
Al 0.529 0.223 0.088
Al 0.529 0.777 0.588
Ir 0.180 0.424 0.019
Ir 0.180 0.576 0.519
Ir 0.680 0.076 0.519
Ir 0.680 0.924 0.019
S 0.272 0.095 0.460
S 0.272 0.905 0.960
S 0.772 0.405 0.960
S 0.772 0.595 0.460

## Properties
- Formation energy (no corrections): -617 meV per atom
- Uncorrected energy: -24.675 eV/atom
- Theoretical density: 7.48 g cm⁻³
- Volume: 247.0 Å³ per cell
- Crystal system: monoclinic
- Total moment: 0.000 μB/cell


Entry 2:
Sc3AlIr | meta-GGA SCAN | PBEsol geometry

abc: 4.945 4.945 4.945
angles: 90.00 90.00 90.00
Fractional coordinates of all 5 atoms:
Sc 0.000 0.000 0.500
Sc 0.000 0.500 0.000
Sc 0.500 0.000 0.000
Al 0.500 0.500 0.500
Ir 0.000 0.000 0.000

## Properties
- Uncorrected energy: -24.616 eV/atom
- Theoretical density: 4.86 g cm⁻³
- Volume: 120.9 Å³ per cell
- Calculated formation energy: -146.6 kJ/mol of formula units
- Crystal system: cubic
- Total moment: 0.000 μB/cell


Entry 3:
ScAlIr2 | meta-GGA SCAN | PBEsol geometry

abc: 6.172 6.172 6.172
angles: 90.00 90.00 90.00
Fractional coordinates of all 16 atoms:
Sc 0.000 0.000 0.000
Sc 0.000 0.500 0.500
Sc 0.500 0.000 0.500
Sc 0.500 0.500 0.000
Al 0.000 0.000 0.500
Al 0.000 0.500 0.000
Al 0.500 0.000 0.000
Al 0.500 0.500 0.500
Ir 0.250 0.250 0.250
Ir 0.250 0.250 0.750
Ir 0.250 0.750 0.250
Ir 0.250 0.750 0.750
Ir 0.750 0.250 0.250
Ir 0.750 0.250 0.750
Ir 0.750 0.750 0.250
Ir 0.750 0.750 0.750

## Properties
- Uncorrected energy: -42.283 eV/atom
- Theoretical density: 12.89 g cm⁻³
- Volume: 235.1 Å³ per cell
- Calculated formation energy: -477.0 kJ/mol of formula units
- Crystal system: cubic
- Total moment: 0.000 μB/cell


Entry 4:
ScAlIr2 | meta-GGA SCAN | PBEsol geometry

abc: 3.100 3.100 6.142
angles: 90.00 90.00 90.00
Fractional coordinates of all 4 atoms:
Sc 0.000 0.000 0.000
Al 0.000 0.000 0.500
Ir 0.500 0.500 0.265
Ir 0.500 0.500 0.735

## Properties
- Uncorrected energy: -42.260 eV/atom
- Theoretical density: 12.84 g cm⁻³
- Volume: 59.0 Å³ per cell
- Calculated formation energy: -468.4 kJ/mol of formula units
- Crystal system: tetragonal
- Total moment: 0.001 μB/cell


Entry 5:
AlSiIr2 | meta-GGA SCAN | PBEsol geometry

abc: 2.788 2.788 7.361
angles: 90.00 90.00 90.00
Fractional coordinates of all 4 atoms:
Al 0.000 0.000 0.000
Si 0.500 0.500 0.700
Ir 0.000 0.000 0.497
Ir 0.500 0.500 0.224

## Properties
- Formation energy (no corrections): -292 meV per atom
- Uncorrected energy: -40.283 eV/atom
- Theoretical density: 12.76 g cm⁻³
- Volume: 57.2 Å³ per cell
- Crystal system: tetragonal
- Total moment: 0.000 μB/cell


Entry 6:
Al2SiIr | meta-GGA SCAN | PBEsol geometry

abc: 6.092 6.092 6.092
angles: 90.00 90.00 90.00
Fractional coordinates of all 16 atoms:
Al 0.000 0.000 0.000
Al 0.000 0.500 0.500
Al 0.250 0.250 0.250
Al 0.250 0.750 0.750
Al 0.500 0.000 0.500
Al 0.500 0.500 0.000
Al 0.750 0.250 0.750
Al 0.750 0.750 0.250
Si 0.250 0.250 0.750
Si 0.250 0.750 0.250
Si 0.750 0.250 0.250
Si 0.750 0.750 0.750
Ir 0.000 0.000 0.500
Ir 0.000 0.500 0.000
Ir 0.500 0.000 0.000
Ir 0.500 0.500 0.500

## Properties
- Formation energy (no corrections): -272 meV per atom
- Uncorrected energy: -24.427 eV/atom
- Theoretical density: 8.06 g cm⁻³
- Volume: 226.1 Å³ per cell
- Crystal system: cubic
- Relative energy among the computed polymorphs: 4.68 kJ/mol of atoms
- Total moment: 0.001 μB/cell


Entry 7:
Al2SiIr | meta-GGA SCAN | PBEsol geometry

abc: 2.868 3.684 5.308
angles: 90.00 90.00 90.00
Fractional coordinates of all 4 atoms:
Al 0.000 0.000 0.000
Al 0.500 0.500 0.270
Si 0.500 0.500 0.764
Ir 0.000 0.000 0.504

## Properties
- Formation energy (no corrections): -321 meV per atom
- Uncorrected energy: -24.475 eV/atom
- Theoretical density: 8.12 g cm⁻³
- Volume: 56.1 Å³ per cell
- Crystal system: orthorhombic
- Relative energy among the computed polymorphs: 0.00 kJ/mol of atoms
- Total moment: 0.000 μB/cell


Entry 8:
AlSi2Ir2 | meta-GGA SCAN | PBEsol geometry

abc: 4.069 4.069 9.328
angles: 90.00 90.00 90.00
Fractional coordinates of all 10 atoms:
Al 0.000 0.000 0.000
Al 0.500 0.500 0.500
Si 0.000 0.000 0.380
Si 0.000 0.000 0.620
Si 0.500 0.500 0.120
Si 0.500 0.500 0.880
Ir 0.000 0.500 0.250
Ir 0.000 0.500 0.750
Ir 0.500 0.000 0.250
Ir 0.500 0.000 0.750

## Properties
- Formation energy (no corrections): -438 meV per atom
- Uncorrected energy: -34.435 eV/atom
- Theoretical density: 10.06 g cm⁻³
- Volume: 154.4 Å³ per cell
- Crystal system: tetragonal
- Total moment: 0.000 μB/cell


Entry 9:
Sm2Al9Ir3 | meta-GGA SCAN | PBEsol geometry

abc: 7.522 7.522 9.463
angles: 90.00 90.00 60.56
Fractional coordinates of all 28 atoms:
Sm 0.005 0.671 0.750
Sm 0.329 0.995 0.750
Sm 0.671 0.005 0.250
Sm 0.995 0.329 0.250
Al 0.001 0.665 0.074
Al 0.001 0.665 0.426
Al 0.129 0.871 0.250
Al 0.333 0.667 0.549
Al 0.333 0.667 0.951
Al 0.335 0.999 0.074
Al 0.335 0.999 0.426
Al 0.340 0.451 0.250
Al 0.451 0.340 0.750
Al 0.549 0.660 0.250
Al 0.660 0.549 0.750
Al 0.665 0.001 0.574
Al 0.665 0.001 0.926
Al 0.667 0.333 0.049
Al 0.667 0.333 0.451
Al 0.871 0.129 0.750
Al 0.999 0.335 0.574
Al 0.999 0.335 0.926
Ir 0.000 0.000 0.000
Ir 0.000 0.000 0.500
Ir 0.329 0.329 0.000
Ir 0.329 0.329 0.500
Ir 0.671 0.671 0.000
Ir 0.671 0.671 0.500

## Properties
- Uncorrected energy: -27.580 eV/atom
- Theoretical density: 7.98 g cm⁻³
- Volume: 466.3 Å³ per cell
- Calculated formation energy: -1366.8 kJ/mol of formula units
- Crystal system: orthorhombic
- Total moment: 0.164 μB/cell


Entry 10:
AlSn3Ir | meta-GGA SCAN | PBEsol geometry

abc: 5.004 5.004 5.004
angles: 90.00 90.00 90.00
Fractional coordinates of all 5 atoms:
Al 0.000 0.000 0.000
Sn 0.000 0.000 0.500
Sn 0.000 0.500 0.000
Sn 0.500 0.000 0.000
Ir 0.500 0.500 0.500

## Properties
- Uncorrected energy: -36.045 eV/atom
- Theoretical density: 7.63 g cm⁻³
- Volume: 125.3 Å³ per cell
- Calculated formation energy: 616.3 kJ/mol of formula units
- Crystal system: cubic
- Total moment: 0.000 μB/cell


Entry 11:
Sr3AlIr | meta-GGA SCAN | PBEsol geometry

abc: 5.774 5.774 5.774
angles: 90.00 90.00 90.00
Fractional coordinates of all 5 atoms:
Sr 0.000 0.000 0.500
Sr 0.000 0.500 0.000
Sr 0.500 0.000 0.000
Al 0.000 0.000 0.000
Ir 0.500 0.500 0.500

## Properties
- Uncorrected energy: -28.179 eV/atom
- Theoretical density: 4.16 g cm⁻³
- Volume: 192.5 Å³ per cell
- Calculated formation energy: 461.4 kJ/mol of formula units
- Crystal system: cubic
- Total moment: 0.641 μB/cell


Entry 12:
SrAl2Ir | meta-GGA SCAN | PBEsol geometry

abc: 2.995 3.319 7.734
angles: 90.00 90.00 90.00
Fractional coordinates of all 4 atoms:
Sr 0.000 0.000 0.000
Al 0.500 0.500 0.322
Al 0.500 0.500 0.678
Ir 0.000 0.000 0.500

## Properties
- Uncorrected energy: -27.750 eV/atom
- Theoretical density: 7.21 g cm⁻³
- Volume: 76.9 Å³ per cell
- Calculated formation energy: -204.8 kJ/mol of formula units
- Crystal system: orthorhombic
- Total moment: 0.000 μB/cell


Entry 13:
SrAl2Ir | meta-GGA SCAN | PBEsol geometry

abc: 4.503 5.534 7.063
angles: 90.00 90.00 90.00
Fractional coordinates of all 8 atoms:
Sr 0.000 0.000 0.000
Sr 0.500 0.500 0.500
Al 0.000 0.000 0.535
Al 0.000 0.500 0.814
Al 0.500 0.000 0.314
Al 0.500 0.500 0.035
Ir 0.000 0.500 0.164
Ir 0.500 0.000 0.664

## Properties
- Uncorrected energy: -27.319 eV/atom
- Theoretical density: 6.30 g cm⁻³
- Volume: 176.0 Å³ per cell
- Calculated formation energy: -38.3 kJ/mol of formula units
- Crystal system: orthorhombic
- Total moment: 0.000 μB/cell